<A>
This record from the Alexandria database describes crystalline Hg3C at its relaxed geometry. The functional is PBE.

abc: 4.8269 4.8269 4.8269
angles: 60.00 60.00 60.00
With the nearest neighbours (Å) after each atom.
Atoms (fractional coordinates):
Hg1 0.0000 0.0000 0.0000  8 Hg 2.96
Hg2 0.2500 0.2500 0.2500  4 C 2.96, 4 Hg 2.96
Hg3 0.7500 0.7500 0.7500  4 C 2.96, 4 Hg 2.96
C1 0.5000 0.5000 0.5000  8 Hg 2.96

calculated density	12.82	g/cm³
crystal system	cubic
space-group type	No. 225

=====

<B>
This record from the Alexandria database describes crystalline Hg3C at its relaxed geometry. The functional is PBE.

abc: 4.8775 4.8775 4.8775
angles: 90.00 90.00 90.00
With the nearest neighbours (Å) after each atom.
Atoms (fractional coordinates):
Hg1 0.0000 0.0000 0.5000  2 C 2.44
Hg2 0.0000 0.5000 0.0000  2 C 2.44
Hg3 0.5000 0.0000 0.0000  2 C 2.44
C1 0.0000 0.0000 0.0000  6 Hg 2.44

calculated density	8.78	g/cm³
crystal system	cubic
space-group type	No. 221

=====

<C>
This record from the Alexandria database describes crystalline Hg3C at its relaxed geometry. The functional is PBE.

abc: 8.2405 8.2405 8.2405
angles: 142.46 142.46 54.14
With the nearest neighbours (Å) after each atom.
Atoms (fractional coordinates):
Hg1 0.0000 0.5000 0.5000  4 C 2.73
Hg2 0.1237 0.1237 0.0000  8 Hg 3.21-3.24
Hg3 0.2500 0.7500 0.5000  4 Hg 3.24
Hg4 0.5000 0.0000 0.5000  4 C 2.73
Hg5 0.7500 0.2500 0.5000  4 Hg 3.24
Hg6 0.8763 0.8763 0.0000  8 Hg 3.21-3.24
C1 0.4554 0.4554 0.0000  1 C 1.31
C2 0.5446 0.5446 0.0000  1 C 1.31

calculated density	9.88	g/cm³
crystal system	tetragonal
space-group type	No. 139

=====

Most stable structure: <C>

=====

<A>
This record from the Alexandria database describes crystalline HgC at its relaxed geometry. The functional is PBE.

abc: 4.1431 5.3918 5.3918
angles: 116.02 90.00 90.00
With the nearest neighbours (Å) after each atom.
Atoms (fractional coordinates):
Hg1 0.0000 0.0000 0.0000  4 C 2.22-2.28
Hg2 0.5000 0.2484 0.6259  3 C 2.18-2.31
Hg3 0.5000 0.6259 0.2484  3 C 2.18-2.31
C1 0.0000 0.2216 0.7369  3 Hg 2.18-2.22
C2 0.0000 0.7369 0.2216  3 Hg 2.18-2.22
C3 0.5000 0.1672 0.1672  4 Hg 2.28-2.31

calculated density	9.78	g/cm³
crystal system	orthorhombic
space-group type	No. 38

=====

<B>
This record from the Alexandria database describes crystalline HgC at its relaxed geometry. The functional is PBE.

abc: 6.4896 2.6465 13.5507
angles: 90.00 90.00 90.00
With the nearest neighbours (Å) after each atom.
Atoms (fractional coordinates):
Hg1 0.2066 0.2500 0.2452  2 Hg 2.65
Hg2 0.2934 0.7500 0.7452  2 Hg 2.65
Hg3 0.7066 0.2500 0.2548  2 Hg 2.65
Hg4 0.7934 0.7500 0.7548  2 Hg 2.65
C1 0.0000 0.2500 0.4996  2 C 1.32
C2 0.0000 0.7500 0.5004  2 C 1.32
C3 0.5000 0.2500 0.0004  2 C 1.32
C4 0.5000 0.7500 0.9996  2 C 1.32

calculated density	6.07	g/cm³
crystal system	orthorhombic
space-group type	No. 62

=====

Most stable structure: <B>

=====

<A>
This record from the Alexandria database describes crystalline HgC at its relaxed geometry. The functional is PBE.

abc: 6.0599 6.0599 6.0599
angles: 109.47 109.47 109.47
With the nearest neighbours (Å) after each atom.
Atoms (fractional coordinates):
Hg1 0.0000 0.0000 0.3644  4 C 2.08-2.32
Hg2 0.0000 0.3644 0.0000  4 C 2.08-2.32
Hg3 0.3644 0.0000 0.0000  4 C 2.08-2.32
Hg4 0.6356 0.6356 0.6356  4 C 2.08-2.32
C1 0.0000 0.0000 0.7082  4 Hg 2.08-2.32
C2 0.0000 0.7082 0.0000  4 Hg 2.08-2.32
C3 0.2918 0.2918 0.2918  4 Hg 2.08-2.32
C4 0.7082 0.0000 0.0000  4 Hg 2.08-2.32

calculated density	8.24	g/cm³
crystal system	cubic
space-group type	No. 217

=====

<B>
This record from the Alexandria database describes crystalline HgC at its relaxed geometry. The functional is PBE.

abc: 7.7086 7.7086 5.8754
angles: 108.33 108.33 20.43
With the nearest neighbours (Å) after each atom.
Atoms (fractional coordinates):
Hg1 0.0000 0.0000 0.0000  1 C 2.73, 2 Hg 2.73
Hg2 0.0747 0.0747 0.5694  2 Hg 2.73
Hg3 0.7929 0.7929 0.5754  3 C 2.17-2.20
C1 0.2822 0.2822 0.2736  1 C 1.37
C2 0.3069 0.3069 0.0685  3 C 1.37-1.53
C3 0.8156 0.8156 0.9593  2 C 1.53

calculated density	9.17	g/cm³
crystal system	monoclinic
space-group type	No. 8

=====

Most stable structure: <B>

=====

<A>
This record from the Alexandria database describes crystalline HgC at its relaxed geometry. The functional is PBE.

abc: 6.2151 3.2561 6.6364
angles: 90.00 90.00 90.00
With the nearest neighbours (Å) after each atom.
Atoms (fractional coordinates):
Hg1 0.1734 0.2500 0.2018  5 C 2.31-2.45
Hg2 0.3266 0.7500 0.7018  5 C 2.31-2.45
Hg3 0.6734 0.2500 0.2982  5 C 2.31-2.45
Hg4 0.8266 0.7500 0.7982  5 C 2.31-2.45
C1 0.1160 0.2500 0.8513  5 Hg 2.31-2.45
C2 0.3840 0.7500 0.3513  5 Hg 2.31-2.45
C3 0.6160 0.2500 0.6487  5 Hg 2.31-2.45
C4 0.8840 0.7500 0.1487  5 Hg 2.31-2.45

calculated density	10.51	g/cm³
crystal system	orthorhombic
space-group type	No. 62

=====

<B>
This record from the Alexandria database describes crystalline HgC at its relaxed geometry. The functional is PBE.

abc: 6.7341 6.7341 8.0240
angles: 126.52 126.52 22.86
With the nearest neighbours (Å) after each atom.
Atoms (fractional coordinates):
Hg1 0.0000 0.0000 0.0000  2 C 2.50, 2 Hg 2.67
Hg2 0.0013 0.0013 0.5620  2 C 2.50, 2 Hg 2.67
Hg3 0.3182 0.3182 0.1005  2 C 2.55, 2 Hg 2.67
C1 0.2267 0.2267 0.5055  2 C 1.34
C2 0.6116 0.6116 0.8922  6 Hg 2.50-2.55, 2 C 2.67
C3 0.7305 0.7305 0.5093  2 C 1.34

calculated density	9.43	g/cm³
crystal system	monoclinic
space-group type	No. 8

=====

Most stable structure: <B>

=====

<A>
This record from the Alexandria database describes crystalline HgC at its relaxed geometry. The functional is PBE.

abc: 6.3755 6.3755 6.3755
angles: 90.00 90.00 90.00
With the nearest neighbours (Å) after each atom.
Atoms (fractional coordinates):
Hg1 0.0000 0.2500 0.5000  4 C 2.25
Hg2 0.0000 0.7500 0.5000  4 C 2.25
Hg3 0.2500 0.5000 0.0000  4 C 2.25
Hg4 0.5000 0.0000 0.2500  4 C 2.25
Hg5 0.5000 0.0000 0.7500  4 C 2.25
Hg6 0.7500 0.5000 0.0000  4 C 2.25
C1 0.0000 0.5000 0.2500  4 Hg 2.25
C2 0.0000 0.5000 0.7500  4 Hg 2.25
C3 0.2500 0.0000 0.5000  4 Hg 2.25
C4 0.5000 0.2500 0.0000  4 Hg 2.25
C5 0.5000 0.7500 0.0000  4 Hg 2.25
C6 0.7500 0.0000 0.5000  4 Hg 2.25

calculated density	8.17	g/cm³
crystal system	cubic
space-group type	No. 223

=====

<B>
This record from the Alexandria database describes crystalline HgC at its relaxed geometry. The functional is PBE.

abc: 6.5532 6.5532 2.9814
angles: 90.00 90.00 120.00
With the nearest neighbours (Å) after each atom.
Atoms (fractional coordinates):
Hg1 0.0000 0.5000 0.0000  4 C 2.41
Hg2 0.5000 0.0000 0.0000  4 C 2.41
Hg3 0.5000 0.5000 0.0000  4 C 2.41
C1 0.0000 0.0000 0.0000  2 C 2.98, 6 Hg 3.28
C2 0.3333 0.6667 0.5000  6 Hg 2.41
C3 0.6667 0.3333 0.5000  6 Hg 2.41

calculated density	9.55	g/cm³
crystal system	hexagonal
space-group type	No. 191

=====

<C>
This record from the Alexandria database describes crystalline HgC at its relaxed geometry. The functional is PBE.

abc: 6.2960 6.2960 5.3491
angles: 90.00 90.00 120.00
With the nearest neighbours (Å) after each atom.
Atoms (fractional coordinates):
Hg1 0.0000 0.0000 0.2500  2 Hg 2.67
Hg2 0.0000 0.0000 0.7500  2 Hg 2.67
Hg3 0.3333 0.6667 0.2500  2 C 2.05
Hg4 0.6667 0.3333 0.7500  2 C 2.05
C1 0.3333 0.6667 0.6339  1 C 1.24
C2 0.3333 0.6667 0.8661  1 C 1.24
C3 0.6667 0.3333 0.1339  1 C 1.24
C4 0.6667 0.3333 0.3661  1 C 1.24

calculated density	7.69	g/cm³
crystal system	hexagonal
space-group type	No. 194

=====

Most stable structure: <C>

=====

<A>
This record from the Alexandria database describes crystalline HgC at its relaxed geometry. The functional is PBE.

abc: 7.5121 7.5121 7.5121
angles: 154.87 154.87 35.83
With the nearest neighbours (Å) after each atom.
Atoms (fractional coordinates):
Hg1 0.3750 0.6250 0.7500  4 C 2.31
Hg2 0.6250 0.3750 0.2500  4 C 2.31
C1 0.1250 0.8750 0.2500  4 Hg 2.31
C2 0.8750 0.1250 0.7500  4 Hg 2.31

calculated density	9.25	g/cm³
crystal system	tetragonal
space-group type	No. 141

=====

<B>
This record from the Alexandria database describes crystalline HgC at its relaxed geometry. The functional is PBE.

abc: 3.9164 3.9164 5.1784
angles: 90.00 90.00 120.00
With the nearest neighbours (Å) after each atom.
Atoms (fractional coordinates):
Hg1 0.3333 0.6667 0.2500  3 C 2.26
Hg2 0.6667 0.3333 0.7500  3 C 2.26
C1 0.3333 0.6667 0.7500  3 Hg 2.26
C2 0.6667 0.3333 0.2500  3 Hg 2.26

calculated density	10.26	g/cm³
crystal system	hexagonal
space-group type	No. 194

=====

<C>
This record from the Alexandria database describes crystalline HgC at its relaxed geometry. The functional is PBE.

abc: 3.0891 3.0891 3.0891
angles: 90.00 90.00 90.00
With the nearest neighbours (Å) after each atom.
Atoms (fractional coordinates):
Hg1 0.0000 0.0000 0.0000  8 C 2.68
C1 0.5000 0.5000 0.5000  8 Hg 2.68

calculated density	11.98	g/cm³
crystal system	cubic
space-group type	No. 221

=====

<D>
This record from the Alexandria database describes crystalline HgC at its relaxed geometry. The functional is PBE.

abc: 4.0401 3.7295 3.3209
angles: 69.65 59.94 50.41
With the nearest neighbours (Å) after each atom.
Atoms (fractional coordinates):
Hg1 0.0000 0.0000 0.0000  3 C 2.22-2.32
C1 0.3748 0.3748 0.6252  3 Hg 2.22-2.32

calculated density	10.59	g/cm³
crystal system	orthorhombic
space-group type	No. 42

=====

Most stable structure: <B>

=====

<A>
This record from the Alexandria database describes crystalline Hg5C3 at its relaxed geometry. The functional is PBE.

abc: 6.8954 6.8954 3.4860
angles: 90.00 90.00 114.35
With the nearest neighbours (Å) after each atom.
Atoms (fractional coordinates):
Hg1 0.0000 0.0000 0.0000  4 Hg 2.80
Hg2 0.0000 0.5000 0.0000  4 C 2.63
Hg3 0.2932 0.2932 0.5000  2 C 2.33
Hg4 0.5000 0.0000 0.0000  4 C 2.63
Hg5 0.7068 0.7068 0.5000  2 C 2.33
C1 0.3038 0.6962 0.5000  6 Hg 2.63-2.75, 2 C 2.87
C2 0.5000 0.5000 0.0000  4 Hg 2.33
C3 0.6962 0.3038 0.5000  6 Hg 2.63-2.75, 2 C 2.87

calculated density	11.43	g/cm³
crystal system	orthorhombic
space-group type	No. 65

=====

<B>
This record from the Alexandria database describes crystalline Hg5C3 at its relaxed geometry. The functional is PBE.

abc: 7.0286 7.3305 8.4467
angles: 90.00 107.50 90.00
With the nearest neighbours (Å) after each atom.
Atoms (fractional coordinates):
Hg1 0.0000 0.0000 0.0000  2 C 2.10-2.14
Hg2 0.0007 0.5000 0.4795  2 C 2.10-2.14
Hg3 0.2536 0.5000 0.8772  2 C 2.12
Hg4 0.2634 0.0000 0.6445  2 C 2.09-2.18
Hg5 0.3136 0.2470 0.3487  2 C 2.12-2.14
Hg6 0.3136 0.7530 0.3487  2 C 2.12-2.14
Hg7 0.6873 0.2526 0.1303  2 C 2.12-2.14
Hg8 0.6873 0.7474 0.1303  2 C 2.12-2.14
Hg9 0.7370 0.5000 0.8344  2 C 2.09-2.18
Hg10 0.7473 0.0000 0.6018  2 C 2.12
C1 0.0435 0.0000 0.7645  3 Hg 2.09-2.12
C2 0.1622 0.5000 0.3011  3 Hg 2.12-2.14
C3 0.4389 0.0000 0.4715  4 Hg 2.12-2.18
C4 0.5619 0.5000 0.0075  4 Hg 2.12-2.18
C5 0.8401 0.0000 0.1797  3 Hg 2.12-2.14
C6 0.9573 0.5000 0.7146  3 Hg 2.09-2.12

calculated density	8.31	g/cm³
crystal system	monoclinic
space-group type	No. 6

=====

Most stable structure: <B>

=====

<A>
This record from the Alexandria database describes crystalline Hg3C4 at its relaxed geometry. The functional is PBE.

abc: 7.0347 7.0347 2.7191
angles: 90.00 90.00 120.00
With the nearest neighbours (Å) after each atom.
Atoms (fractional coordinates):
Hg1 0.0000 0.5000 0.0000  4 C 2.44, 2 Hg 2.72
Hg2 0.5000 0.0000 0.0000  4 C 2.44, 2 Hg 2.72
Hg3 0.5000 0.5000 0.0000  4 C 2.44, 2 Hg 2.72
C1 0.0000 0.0000 0.2483  2 C 1.35-1.37
C2 0.0000 0.0000 0.7517  2 C 1.35-1.37
C3 0.3333 0.6667 0.5000  6 Hg 2.44, 2 C 2.72
C4 0.6667 0.3333 0.5000  6 Hg 2.44, 2 C 2.72

calculated density	9.26	g/cm³
crystal system	hexagonal
space-group type	No. 191

=====

<B>
This record from the Alexandria database describes crystalline Hg3C4 at its relaxed geometry. The functional is PBE.

abc: 4.7861 4.7861 4.7861
angles: 90.00 90.00 90.00
With the nearest neighbours (Å) after each atom.
Atoms (fractional coordinates):
Hg1 0.0000 0.0000 0.5000  6 C 2.39
Hg2 0.0000 0.5000 0.0000  6 C 2.39
Hg3 0.5000 0.0000 0.0000  6 C 2.39
C1 0.0000 0.0000 0.0000  6 Hg 2.39
C2 0.0000 0.5000 0.5000  4 Hg 2.39
C3 0.5000 0.0000 0.5000  4 Hg 2.39
C4 0.5000 0.5000 0.0000  4 Hg 2.39

calculated density	9.84	g/cm³
crystal system	cubic
space-group type	No. 221

=====

Most stable structure: <A>

=====

<A>
This record from the Alexandria database describes crystalline Hg3C4 at its relaxed geometry. The functional is PBE.

abc: 5.7938 5.7938 5.7938
angles: 90.00 90.00 90.00
With the nearest neighbours (Å) after each atom.
Atoms (fractional coordinates):
Hg1 0.0000 0.0000 0.5000  4 C 2.47
Hg2 0.0000 0.5000 0.0000  4 C 2.47
Hg3 0.5000 0.0000 0.0000  4 C 2.47
C1 0.0966 0.0966 0.0966  3 C 1.58
C2 0.0966 0.9034 0.9034  3 C 1.58
C3 0.9034 0.0966 0.9034  3 C 1.58
C4 0.9034 0.9034 0.0966  3 C 1.58

calculated density	5.55	g/cm³
crystal system	cubic
space-group type	No. 215

=====

<B>
This record from the Alexandria database describes crystalline Hg3C4 at its relaxed geometry. The functional is PBE.

abc: 16.5981 16.5981 16.5981
angles: 171.11 171.11 12.59
With the nearest neighbours (Å) after each atom.
Atoms (fractional coordinates):
Hg1 0.0000 0.0000 0.0000  4 Hg 2.57
Hg2 0.3046 0.3046 0.0000  4 Hg 2.57
Hg3 0.6954 0.6954 0.0000  4 Hg 2.57
C1 0.0972 0.0972 0.0000  4 C 1.82
C2 0.4017 0.4017 0.0000  4 C 1.82
C3 0.5983 0.5983 0.0000  4 C 1.82
C4 0.9028 0.9028 0.0000  4 C 1.82

calculated density	9.87	g/cm³
crystal system	tetragonal
space-group type	No. 139

=====

Most stable structure: <A>

=====

<A>
This record from the Alexandria database describes crystalline Hg5C at its relaxed geometry. The functional is PBE.

abc: 3.1322 3.1322 13.7044
angles: 90.00 90.00 90.00
With the nearest neighbours (Å) after each atom.
Atoms (fractional coordinates):
Hg1 0.0000 0.0000 0.0000  12 Hg 3.13-3.49
Hg2 0.0000 0.0000 0.3877  4 C 2.70
Hg3 0.0000 0.0000 0.6123  4 C 2.70
Hg4 0.5000 0.5000 0.1970  12 Hg 3.13-3.49
Hg5 0.5000 0.5000 0.8030  12 Hg 3.13-3.49
C1 0.5000 0.5000 0.5000  8 Hg 2.70

calculated density	12.54	g/cm³
crystal system	tetragonal
space-group type	No. 123

=====

<B>
This record from the Alexandria database describes crystalline Hg5C at its relaxed geometry. The functional is PBE.

abc: 6.1707 6.1707 6.1707
angles: 60.00 60.00 60.00
With the nearest neighbours (Å) after each atom.
Atoms (fractional coordinates):
Hg1 0.0000 0.0000 0.0000  12 Hg 3.62, 4 C 3.78
Hg2 0.1263 0.6246 0.6246  6 Hg 3.07-3.10
Hg3 0.6246 0.1263 0.6246  6 Hg 3.07-3.10
Hg4 0.6246 0.6246 0.1263  6 Hg 3.07-3.10
Hg5 0.6246 0.6246 0.6246  6 Hg 3.07-3.10
C1 0.2500 0.2500 0.2500  16 Hg 3.62-3.78

calculated density	10.14	g/cm³
crystal system	cubic
space-group type	No. 216

=====

Most stable structure: <A>